Entry 1:
First-principles (GGA-PBE) data for a geometry-optimized TcSe4Cl structure, as listed in Alexandria.

**ρ**: 5.8 Mg/m³
**SG**: F-43m, No. 216
**Size of the total moment**: 4.3 μB per cell
**Energy relative to the elements, uncorrected**: 0.79 eV/atom

Lattice parameters (Å, degrees): 5.6760 5.6760 5.6760 60.00 60.00 60.00
With the nearest neighbours (Å) after each atom.
Element x y z (fractional)
Tc (0.0000, 0.0000, 0.0000)  12 Se 3.33, 4 Cl 3.48
Se (0.3746, 0.3746, 0.3746)  6 Se 2.83-2.85
Se (0.3746, 0.3746, 0.8761)  6 Se 2.83-2.85
Se (0.3746, 0.8761, 0.3746)  6 Se 2.83-2.85
Se (0.8761, 0.3746, 0.3746)  6 Se 2.83-2.85
Cl (0.7500, 0.7500, 0.7500)  12 Se 3.33, 4 Tc 3.48

---

Entry 2:
First-principles (GGA-PBE) data for a geometry-optimized TcSe3Cl structure, as listed in Alexandria.

**ρ**: 5.1 Mg/m³
**SG**: Pm-3m, No. 221
**Size of the total moment**: 4.5 μB per cell
**Energy relative to the elements, uncorrected**: 1.32 eV/atom

Lattice parameters (Å, degrees): 4.9535 4.9535 4.9535 90.00 90.00 90.00
With the nearest neighbours (Å) after each atom.
Element x y z (fractional)
Tc (0.0000, 0.0000, 0.0000)  12 Se 3.50
Se (0.0000, 0.5000, 0.5000)  2 Cl 2.48
Se (0.5000, 0.0000, 0.5000)  2 Cl 2.48
Se (0.5000, 0.5000, 0.0000)  2 Cl 2.48
Cl (0.5000, 0.5000, 0.5000)  6 Se 2.48